This record from the Open Quantum Materials Database describes a geometry-optimized ZnC8 structure. The functional is GGA-PBE.

As for the volume: 128.4 Å³/cell. For the distance to the lowest polymorph of the same formula, the calculation gives 0 meV per atom.

It has space group P6/mmm (No. 191), with a = 4.9239 Å, b = 4.9239 Å, c = 6.1174 Å, α = 90.00°, β = 90.00° and γ = 120.00°. The asymmetric unit holds Zn at (0.0000, 0.0000, 0.0000), C at (0.1668, 0.3335, 0.5000) and C at (0.3333, 0.6667, 0.5000).